No. 1
## TlTcIrO6 (PBE)

Data for TlTcIrO6 after structural relaxation.

Computed properties:
energy	-60.09	eV for the cell shown
formation energy from raw total energies	-0.97	eV/atom
calculated volume	16.02	A^3/atom
total moment	0.0	Bohr magnetons per cell
space-group type	No. 149

Cell: 5.360 5.360 5.796 Å, 90.00 90.00 60.00°
Fractional positions:
Tl 0.000 0.000 0.000
Tc 0.667 0.667 0.500
Ir 0.333 0.333 0.500
O 0.995 0.395 0.320
O 0.395 0.995 0.680
O 0.610 0.395 0.680
O 0.995 0.610 0.680
O 0.395 0.610 0.320
O 0.610 0.995 0.320

=====

No. 2
## Cu2SiIr (PBE)

Data for Cu2SiIr after structural relaxation.

Computed properties:
energy	-23.29	eV for the cell shown
formation energy from raw total energies	-0.20	eV/atom
calculated volume	12.93	A^3/atom
total moment	0.0	Bohr magnetons per cell
space-group type	No. 38

Cell: 3.727 2.780 5.180 Å, 74.42 90.00 90.00°
Fractional positions:
Cu 0.000 0.803 0.020
Cu 0.500 0.205 0.215
Ir 0.000 0.539 0.546
Si 0.500 0.953 0.719

=====

No. 3
## Ba6SrCa12 (PBE)

Data for Ba6SrCa12 after structural relaxation.

Computed properties:
energy	-35.13	eV for the cell shown
distance to the lowest polymorph of the same formula	0	meV per atom
calculated volume	50.73	A^3/atom
total moment	0.0	Bohr magnetons per cell
space-group type	No. 148
formation energy	111	meV/atom

Cell: 9.879 9.879 9.879 Å, 90.85 90.85 90.85°
Fractional positions:
Ba 0.723 0.885 0.267
Ba 0.733 0.277 0.115
Ba 0.115 0.733 0.277
Ba 0.277 0.115 0.733
Ba 0.267 0.723 0.885
Ba 0.885 0.267 0.723
Sr 0.000 0.000 0.000
Ca 0.788 0.530 0.453
Ca 0.453 0.788 0.530
Ca 0.530 0.453 0.788
Ca 0.212 0.470 0.547
Ca 0.547 0.212 0.470
Ca 0.470 0.547 0.212
Ca 0.051 0.156 0.373
Ca 0.844 0.627 0.949
Ca 0.627 0.949 0.844
Ca 0.949 0.844 0.627
Ca 0.156 0.373 0.051
Ca 0.373 0.051 0.156

=====

No. 4
## CaTl12Sn6 (PBE)

Data for CaTl12Sn6 after structural relaxation.

Computed properties:
energy	-54.48	eV for the cell shown
calculated volume	31.33	A^3/atom
total moment	0.0	Bohr magnetons per cell
space-group type	No. 148
formation energy	-3	meV/atom

Cell: 8.906 8.906 8.906 Å, 106.56 106.56 106.56°
Fractional positions:
Ca 0.000 0.000 0.000
Tl 0.523 0.191 0.633
Tl 0.191 0.633 0.523
Tl 0.633 0.523 0.191
Tl 0.477 0.809 0.367
Tl 0.809 0.367 0.477
Tl 0.367 0.477 0.809
Tl 0.294 0.048 0.823
Tl 0.177 0.706 0.952
Tl 0.952 0.177 0.706
Tl 0.706 0.952 0.177
Tl 0.823 0.294 0.048
Tl 0.048 0.823 0.294
Sn 0.147 0.240 0.405
Sn 0.760 0.595 0.853
Sn 0.595 0.853 0.760
Sn 0.853 0.760 0.595
Sn 0.240 0.405 0.147
Sn 0.405 0.147 0.240

=====

No. 5
## SrTlCoSb2 (PBE)

Data for SrTlCoSb2 after structural relaxation.

Computed properties:
energy	-19.90	eV for the cell shown
formation energy from raw total energies	-0.10	eV/atom
calculated volume	27.47	A^3/atom
total moment	0.0	Bohr magnetons per cell
space-group type	No. 123

Cell: 4.981 5.536 4.981 Å, 90.00 90.00 90.00°
Fractional positions:
Sb 0.000 0.000 0.500
Sb 0.500 0.000 0.000
Tl 0.500 0.500 0.500
Co 0.000 0.000 0.000
Sr 0.000 0.500 0.000

=====

No. 6
## Cs4PF (PBE)

Data for Cs4PF after structural relaxation.

Computed properties:
energy	-32.73	eV for the cell shown
formation energy from raw total energies	-0.94	eV/atom
calculated volume	54.92	A^3/atom
total moment	0.0	Bohr magnetons per cell
space-group type	No. 141

Cell: 9.516 9.515 9.515 Å, 73.05 73.05 114.64°
Fractional positions:
Cs 0.247 0.676 0.929
Cs 0.604 0.676 0.571
Cs 0.176 0.104 0.071
Cs 0.753 0.324 0.071
Cs 0.176 0.747 0.429
Cs 0.824 0.896 0.929
Cs 0.396 0.324 0.429
Cs 0.824 0.253 0.571
P 0.875 0.625 0.250
P 0.125 0.375 0.750
F 0.625 0.875 0.750
F 0.375 0.125 0.250

=====

No. 7
## RbScPb (PBE)

Data for RbScPb after structural relaxation.

Computed properties:
energy	-22.34	eV for the cell shown
distance to the lowest polymorph of the same formula	183	meV per atom
calculated volume	37.96	A^3/atom
total moment	0.0	Bohr magnetons per cell
space-group type	No. 63
formation energy	-54	meV/atom

Cell: 7.672 7.672 7.363 Å, 90.00 90.00 148.29°
Fractional positions:
Pb 0.926 0.074 0.250
Pb 0.074 0.926 0.750
Sc 0.500 0.500 0.000
Sc 0.500 0.500 0.500
Rb 0.208 0.792 0.250
Rb 0.792 0.208 0.750

=====

No. 8
## Hf2Ti2Co (PBE)

Data for Hf2Ti2Co after structural relaxation.

Computed properties:
energy	-85.80	eV for the cell shown
distance to the lowest polymorph of the same formula	51	meV per atom
calculated volume	18.10	A^3/atom
total moment	0.0	Bohr magnetons per cell
space-group type	No. 127
formation energy	-20	meV/atom

Cell: 6.241 6.241 4.646 Å, 90.00 90.00 90.00°
Fractional positions:
Co 0.000 0.000 0.000
Co 0.500 0.500 0.000
Hf 0.162 0.662 0.500
Hf 0.662 0.838 0.500
Hf 0.838 0.338 0.500
Hf 0.338 0.162 0.500
Ti 0.348 0.848 0.000
Ti 0.848 0.652 0.000
Ti 0.652 0.152 0.000
Ti 0.152 0.348 0.000

=====

No. 9
## SmAg3Sn2 (PBE)

Data for SmAg3Sn2 after structural relaxation.

Computed properties:
energy	-46.15	eV for the cell shown
calculated volume	22.61	A^3/atom
total moment	0.0	Bohr magnetons per cell
space-group type	No. 12
formation energy	-300	meV/atom

Cell: 4.587 9.549 7.252 Å, 117.46 90.00 103.90°
Fractional positions:
Sm 0.880 0.760 0.925
Sm 0.120 0.240 0.075
Ag 0.305 0.610 0.515
Ag 0.929 0.857 0.528
Ag 0.634 0.267 0.778
Ag 0.366 0.733 0.222
Ag 0.071 0.143 0.472
Ag 0.695 0.390 0.485
Sn 0.482 0.963 0.777
Sn 0.518 0.037 0.223
Sn 0.764 0.528 0.213
Sn 0.236 0.472 0.787

=====

No. 10
## LiTcAs2 (PBE)

Data for LiTcAs2 after structural relaxation.

Computed properties:
energy	-22.14	eV for the cell shown
distance to the lowest polymorph of the same formula	205	meV per atom
calculated volume	16.18	A^3/atom
total moment	0.0	Bohr magnetons per cell
space-group type	No. 8
formation energy	-140	meV/atom

Cell: 4.772 4.772 4.550 Å, 86.43 86.43 38.76°
Fractional positions:
As 0.982 0.982 0.081
As 0.761 0.761 0.633
Li 0.494 0.494 0.572
Tc 0.263 0.263 0.214

=====

No. 11
## PuPa3 (PBE)

Data for PuPa3 after structural relaxation.

Computed properties:
energy	-42.57	eV for the cell shown
distance to the lowest polymorph of the same formula	44	meV per atom
calculated volume	24.02	A^3/atom
total moment	4.7	Bohr magnetons per cell
space-group type	No. 25
formation energy	62	meV/atom

Cell: 5.348 3.116 5.766 Å, 90.00 90.00 90.00°
Site moments in Bohr magnetons follow the coordinates.
Fractional positions:
Pa 0.000 0.500 0.455  -0.15
Pa 0.500 0.500 0.216  -0.08
Pa 0.500 0.000 0.717  0.02
Pu 0.000 0.000 0.946  4.86

=====

No. 12
## HfMgAu2 (PBE)

Data for HfMgAu2 after structural relaxation.

Computed properties:
energy	-20.22	eV for the cell shown
calculated volume	18.92	A^3/atom
total moment	0.0	Bohr magnetons per cell
space-group type	No. 123
formation energy	-528	meV/atom

Cell: 3.263 3.263 7.107 Å, 90.00 90.00 90.00°
Fractional positions:
Hf 0.500 0.500 0.500
Mg 0.500 0.500 0.000
Au 0.000 0.000 0.753
Au 0.000 0.000 0.247

=====

No. 13
## RbNaRuCl6 (PBE)

Data for RbNaRuCl6 after structural relaxation.

Computed properties:
energy	-32.72	eV for the cell shown
formation energy from raw total energies	-1.12	eV/atom
calculated volume	32.17	A^3/atom
total moment	2.0	Bohr magnetons per cell
space-group type	No. 5

Cell: 6.894 6.894 7.039 Å, 90.03 89.97 59.95°
Site moments in Bohr magnetons follow the coordinates.
Fractional positions:
Rb 0.000 0.000 0.000  0.00
Na 0.667 0.667 0.500  0.00
Ru 0.333 0.333 0.500  1.42
Cl 0.050 0.344 0.306  0.06
Cl 0.344 0.050 0.694  0.06
Cl 0.606 0.344 0.694  0.06
Cl 0.049 0.607 0.694  0.06
Cl 0.344 0.606 0.306  0.06
Cl 0.607 0.049 0.306  0.06

=====

No. 14
## TiAlV2 (PBE)

Data for TiAlV2 after structural relaxation.

Computed properties:
energy	-29.01	eV for the cell shown
calculated volume	15.22	A^3/atom
total moment	0.1	Bohr magnetons per cell
space-group type	No. 38
formation energy	216	meV/atom

Cell: 2.633 4.809 4.809 Å, 90.79 90.00 90.00°
Site moments in Bohr magnetons follow the coordinates.
Fractional positions:
Ti 0.500 0.371 0.629  0.07
Al 0.000 0.007 0.993  0.00
V 0.500 0.881 0.480  0.02
V 0.500 0.520 0.119  0.02

=====

No. 15
## Ba3Se5 (PBE)

Data for Ba3Se5 after structural relaxation.

Computed properties:
energy	-33.75	eV for the cell shown
distance to the lowest polymorph of the same formula	0	meV per atom
formation energy from raw total energies	-1.32	eV/atom
calculated volume	30.65	A^3/atom
total moment	0.4	Bohr magnetons per cell
space-group type	No. 65

Cell: 6.572 6.572 5.923 Å, 90.00 90.00 106.59°
Site moments in Bohr magnetons follow the coordinates.
Fractional positions:
Ba 0.500 0.500 0.000  0.00
Ba 0.799 0.201 0.500  0.02
Ba 0.201 0.799 0.500  0.02
Se 0.000 0.000 0.000  0.01
Se 0.000 0.500 0.000  0.01
Se 0.500 0.000 0.000  0.01
Se 0.336 0.336 0.500  0.08
Se 0.664 0.664 0.500  0.08

=====

No. 16
## Ba3Li8Zn3 (PBE)

Data for Ba3Li8Zn3 after structural relaxation.

Computed properties:
energy	-25.43	eV for the cell shown
calculated volume	27.86	A^3/atom
total moment	0.0	Bohr magnetons per cell
space-group type	No. 71
formation energy	-38	meV/atom

Cell: 5.027 9.278 9.278 Å, 73.20 74.28 74.28°
Fractional positions:
Ba 0.500 0.500 0.500
Ba 0.833 0.167 0.167
Ba 0.167 0.833 0.833
Li 0.600 0.113 0.688
Li 0.400 0.887 0.312
Li 0.600 0.688 0.113
Li 0.400 0.312 0.887
Li 0.816 0.850 0.518
Li 0.184 0.150 0.482
Li 0.816 0.518 0.850
Li 0.184 0.482 0.150
Zn 0.500 0.000 0.000
Zn 0.000 0.757 0.243
Zn 0.000 0.243 0.757

=====

No. 17
## Tm2VCo (PBE)

Data for Tm2VCo after structural relaxation.

Computed properties:
energy	-22.83	eV for the cell shown
calculated volume	21.75	A^3/atom
total moment	2.6	Bohr magnetons per cell
space-group type	No. 166
formation energy	584	meV/atom

Cell: 3.252 3.252 9.685 Å, 80.34 80.34 60.00°
Site moments in Bohr magnetons follow the coordinates.
Fractional positions:
Tm 0.101 0.101 0.698  -0.02
Tm 0.899 0.899 0.302  -0.02
Co 0.500 0.500 0.500  -0.16
V 0.000 0.000 0.000  2.41

=====

No. 18
## Ho8Ir2Os (PBE)

Data for Ho8Ir2Os after structural relaxation.

Computed properties:
energy	-69.93	eV for the cell shown
calculated volume	26.18	A^3/atom
total moment	0.0	Bohr magnetons per cell
space-group type	No. 8
formation energy	-396	meV/atom

Cell: 5.842 7.512 7.512 Å, 112.60 100.32 100.32°
Fractional positions:
Ir 0.490 0.694 0.319
Ir 0.490 0.319 0.694
Os 0.136 0.000 0.000
Ho 0.576 0.336 0.080
Ho 0.576 0.080 0.336
Ho 0.174 0.359 0.359
Ho 0.990 0.214 0.785
Ho 0.990 0.785 0.214
Ho 0.805 0.645 0.645
Ho 0.386 0.929 0.673
Ho 0.386 0.673 0.929

=====

No. 19
## La5Pb2O12 (PBE)

Data for La5Pb2O12 after structural relaxation.

Computed properties:
energy	-139.80	eV for the cell shown
formation energy from raw total energies	-2.54	eV/atom
calculated volume	16.74	A^3/atom
total moment	1.2	Bohr magnetons per cell
space-group type	No. 12

Cell: 6.387 7.367 7.854 Å, 105.44 90.00 115.69°
Site moments in Bohr magnetons follow the coordinates.
Fractional positions:
La 0.303 0.605 0.639  0.01
La 0.303 0.606 0.163  0.00
La 0.000 0.000 0.500  -0.01
La 0.697 0.394 0.837  0.00
La 0.697 0.395 0.361  0.01
Pb 0.756 0.000 0.000  0.00
Pb 0.244 0.000 0.000  0.00
O 0.998 0.997 0.194  0.03
O 0.099 0.658 0.910  0.06
O 0.559 0.658 0.910  0.06
O 0.092 0.687 0.426  0.16
O 0.596 0.687 0.426  0.16
O 0.502 0.004 0.806  0.03
O 0.498 0.996 0.194  0.03
O 0.908 0.313 0.574  0.16
O 0.404 0.313 0.574  0.16
O 0.901 0.342 0.090  0.06
O 0.441 0.342 0.090  0.06
O 0.002 0.003 0.806  0.03

=====

No. 20
## ZrZnBr (PBE)

Data for ZrZnBr after structural relaxation.

Computed properties:
energy	-11.72	eV for the cell shown
distance to the lowest polymorph of the same formula	345	meV per atom
formation energy from raw total energies	-0.08	eV/atom
calculated volume	21.39	A^3/atom
total moment	0.0	Bohr magnetons per cell
space-group type	No. 187

Cell: 4.691 4.691 3.368 Å, 90.00 90.00 120.00°
Fractional positions:
Br 0.000 0.000 0.833
Zn 0.667 0.333 0.334
Zr 0.333 0.667 0.833